# 1
Compound: SrAg3Sb2
Source: Alexandria via LeMat-Bulk
Functional: PBE-GGA
Structure: relaxed

The structure in POSCAR format:
```
SrAg3Sb2
1.0
4.613 0.000 0.000
-2.306 8.860 0.255
0.000 -3.767 7.321
Ag Sb Sr
6 4 2
Cartesian
2.306 -0.761 4.996
0.000 5.854 2.580
0.000 -0.543 3.019
2.306 5.636 4.557
2.306 1.688 3.478
0.000 3.405 4.098
0.000 5.474 6.149
2.306 4.172 2.136
2.306 -0.381 1.427
0.000 0.921 5.440
2.306 2.867 7.042
0.000 2.226 0.534
```

Summary:
crystal system = monoclinic
ΔE to the lowest computed polymorph = 0.000 eV per atom
formation energy without anion corrections = -0.34 eV per atom


# 2
Compound: RbHf4Se8
Source: Alexandria via LeMat-Bulk
Functional: PBE-GGA
Structure: relaxed

The structure in POSCAR format:
```
RbHf4Se8
1.0
6.838 0.000 3.118
2.708 6.279 3.118
-0.287 -0.189 9.685
Se Hf Rb
8 4 1
Cartesian
5.372 1.271 10.887
5.964 1.661 5.034
3.887 4.819 5.034
1.933 1.271 9.319
7.326 4.819 6.602
3.295 4.429 10.887
6.713 4.416 12.448
2.546 1.675 3.474
3.419 0.000 1.559
0.000 0.000 0.000
4.773 3.139 3.118
1.354 3.139 1.559
4.629 3.045 7.961
```

Summary:
crystal system = trigonal
ΔE to the lowest computed polymorph = 0.000 eV per atom
formation energy without anion corrections = -1.41 eV per atom


# 3
Compound: YAlZn2Cu4
Source: Alexandria via LeMat-Bulk
Functional: PBE-GGA
Structure: relaxed

The structure in POSCAR format:
```
YAlZn2Cu4
1.0
4.198 0.000 0.000
2.099 3.635 0.000
2.099 1.212 8.160
Cu Y Al Zn
4 1 1 2
Cartesian
2.099 1.212 4.973
4.198 2.423 6.498
6.296 3.635 3.187
4.198 2.423 1.661
0.000 0.000 0.000
4.198 2.423 4.080
6.296 3.635 5.949
2.099 1.212 2.211
```

Summary:
crystal system = trigonal
ΔH_f (0 K) = -184 meV per atom


# 4
Compound: Pm8Bi5Te
Source: Alexandria via LeMat-Bulk
Functional: PBE-GGA
Structure: relaxed

The structure in POSCAR format:
```
Pm8Bi5Te
1.0
7.849 0.000 -2.707
-3.913 6.768 -2.798
-0.024 0.000 8.303
Pm Bi Te
8 5 1
Cartesian
-1.960 5.079 1.871
-1.930 5.046 -2.295
1.394 4.106 -1.080
1.361 6.024 3.090
1.118 1.722 1.714
5.050 1.689 0.339
7.277 0.744 3.087
3.342 2.662 4.466
6.372 2.518 -2.715
3.453 5.915 -2.755
3.913 0.000 2.798
2.446 0.852 -1.346
3.427 4.250 1.403
-0.012 3.384 4.151
```

Summary:
crystal system = tetragonal
formation energy without anion corrections = -0.88 eV per atom


# 5
Compound: CuNi2As
Source: Alexandria via LeMat-Bulk
Functional: PBE-GGA
Structure: relaxed

The structure in POSCAR format:
```
CuNi2As
1.0
-3.631 -6.088 2.921
-1.801 -7.353 1.213
-1.012 -6.586 3.792
As Cu Ni
1 1 2
Cartesian
-1.611 -5.007 1.981
-4.833 -15.020 5.944
-3.243 -10.079 3.988
-6.423 -19.962 7.900
```

Summary:
crystal system = trigonal
ΔH_f (0 K) = 75 meV per atom


# 6
Compound: CaSi3Pb
Source: Alexandria via LeMat-Bulk
Functional: PBE-GGA
Structure: relaxed

The structure in POSCAR format:
```
CaSi3Pb
1.0
-4.570 0.710 -2.601
-2.658 -2.050 4.109
-0.456 4.842 2.121
Si Pb Ca
3 1 1
Cartesian
-1.329 -1.025 2.055
-2.285 0.355 -1.301
-0.228 2.421 1.061
0.000 0.000 0.000
-3.842 1.751 1.815
```

Summary:
crystal system = cubic
ΔE to the lowest computed polymorph = 0.000 eV per atom
formation energy without anion corrections = 0.99 eV per atom


# 7
Compound: CePr4Dy10
Source: Alexandria via LeMat-Bulk
Functional: PBE-GGA
Structure: relaxed

The structure in POSCAR format:
```
CePr4Dy10
1.0
-5.828 -4.787 -2.729
2.212 -5.710 -6.493
-0.981 -7.864 4.104
Dy Pr Ce
10 4 1
Cartesian
-0.842 -7.983 -1.876
-0.160 -7.560 -5.112
-2.036 -8.828 1.119
-4.338 -15.143 -4.385
-2.561 -9.533 -6.236
-1.937 -13.170 -3.261
-3.755 -10.377 -3.241
-2.661 -5.190 -1.856
-4.438 -10.800 -0.005
-0.259 -3.217 -0.731
0.357 -11.102 -4.859
-0.104 -4.212 -4.175
-4.954 -7.259 -0.258
-4.493 -14.149 -0.941
0.000 0.000 0.000
```

Summary:
crystal system = tetragonal
ΔH_f (0 K) = 256 meV per atom


# 8
Compound: MnSe2Cl
Source: Alexandria via LeMat-Bulk
Functional: PBE-GGA
Structure: relaxed

The structure in POSCAR format:
```
MnSe2Cl
1.0
2.942 0.000 0.000
0.000 2.942 0.000
0.000 0.000 9.208
Se Cl Mn
2 1 1
Cartesian
0.000 0.000 5.403
0.000 0.000 8.409
1.471 1.471 2.302
1.471 1.471 6.906
```

Summary:
crystal system = tetragonal
ΔE to the lowest computed polymorph = 0.494 eV per atom
formation energy without anion corrections = 0.03 eV per atom


# 9
Compound: ZrIrAu2
Source: Alexandria via LeMat-Bulk
Functional: PBE-GGA
Structure: relaxed

The structure in POSCAR format:
```
ZrIrAu2
1.0
9.199 -0.096 -0.056
8.714 2.950 -0.056
8.714 1.388 2.603
Au Zr Ir
2 1 1
Cartesian
0.034 0.005 0.003
6.623 1.055 0.619
20.074 3.198 1.878
13.211 2.105 1.236
```

Summary:
crystal system = trigonal
ΔE to the lowest computed polymorph = 0.387 eV per atom
ΔH_f (0 K) = -76 meV per atom


# 10
Compound: Sc2TlBTe
Source: Alexandria via LeMat-Bulk
Functional: PBE-GGA
Structure: relaxed

The structure in POSCAR format:
```
Sc2TlBTe
1.0
4.931 0.000 0.000
0.000 4.389 0.000
0.000 0.000 4.931
Sc Tl B Te
2 1 1 1
Cartesian
2.465 0.000 0.000
0.000 0.000 2.465
0.000 2.194 0.000
0.000 0.000 0.000
2.465 2.194 2.465
```

Summary:
crystal system = tetragonal
formation energy without anion corrections = -0.17 eV per atom


# 11
Compound: Hg3Ge5I12
Source: Alexandria via LeMat-Bulk
Functional: PBE-GGA
Structure: relaxed

The structure in POSCAR format:
```
Hg3Ge5I12
1.0
16.568 0.000 0.000
-5.523 15.620 0.000
-5.523 -7.810 13.528
I Ge Hg
48 20 12
Cartesian
-0.565 1.340 2.646
10.888 1.520 0.162
-1.452 9.381 5.515
0.158 4.805 5.529
2.196 5.526 9.247
8.442 4.524 5.367
11.203 -3.286 8.161
5.365 3.005 7.999
-4.958 6.866 6.926
-1.045 5.656 1.235
-2.919 -6.291 13.366
9.593 -5.562 12.131
2.604 10.815 5.529
-1.309 5.562 12.131
-1.309 -3.991 9.410
3.806 9.965 1.235
-1.045 9.957 1.249
4.958 -2.284 4.280
6.975 -1.571 8.012
-6.567 0.008 11.044
1.717 -2.155 12.293
6.567 2.155 12.293
6.832 11.801 4.118
-1.717 -0.008 11.044
-4.071 13.372 1.397
6.088 6.470 10.882
12.497 3.819 4.118
7.239 7.818 2.483
7.719 8.754 6.926
-3.326 9.150 10.882
3.326 2.284 4.280
-6.975 3.991 9.410
-2.919 3.286 8.161
6.832 2.248 1.397
-5.365 6.291 13.366
0.565 10.094 9.247
-2.196 -0.944 6.602
3.806 5.663 1.249
1.309 1.571 8.012
-5.680 11.096 5.367
4.213 6.239 5.515
8.849 -1.340 2.646
6.567 -2.147 12.279
2.919 -3.005 7.999
12.090 7.802 2.483
1.717 2.147 12.279
8.442 14.101 0.162
10.480 0.944 6.602
-1.381 3.905 3.382
2.761 3.905 6.764
6.903 -4.881 11.837
4.142 11.715 3.382
1.381 -3.905 10.146
5.523 -3.905 6.764
-2.761 7.810 0.000
4.142 2.929 1.691
-1.381 0.976 8.455
8.284 0.000 0.000
6.903 3.905 10.146
5.523 7.810 0.000
-5.523 3.905 6.764
9.665 -0.976 8.455
-4.142 8.787 5.073
-1.381 12.692 1.691
-2.761 -3.905 6.764
0.000 0.000 0.000
6.903 6.834 5.073
1.381 4.881 11.837
-4.142 2.929 11.837
9.665 4.881 1.691
6.903 0.976 5.073
-6.903 7.810 10.146
4.142 0.000 10.146
-4.142 -2.929 11.837
-1.381 6.834 8.455
4.142 8.787 8.455
12.426 0.000 3.382
1.381 -0.976 5.073
1.381 7.810 3.382
9.665 10.739 1.691
```

Summary:
crystal system = cubic
formation energy without anion corrections = -0.12 eV per atom


# 12
Compound: BaSc2In
Source: Alexandria via LeMat-Bulk
Functional: PBE-GGA
Structure: relaxed

The structure in POSCAR format:
```
BaSc2In
1.0
4.601 0.000 0.000
0.000 3.522 0.006
0.000 3.516 7.560
Sc Ba In
2 1 1
Cartesian
0.000 3.516 7.520
2.301 1.759 1.438
0.000 3.519 3.882
2.301 5.278 6.068
```

Summary:
crystal system = orthorhombic
ΔH_f (0 K) = -30 meV per atom


# 13
Compound: YLuIrRu
Source: Alexandria via LeMat-Bulk
Functional: PBE-GGA
Structure: relaxed

The structure in POSCAR format:
```
YLuIrRu
1.0
4.781 0.000 0.000
2.390 4.140 0.000
2.390 1.380 3.904
Ru Lu Y Ir
1 1 1 1
Cartesian
7.171 4.140 2.928
4.781 2.760 1.952
0.000 0.000 0.000
2.390 1.380 0.976
```

Summary:
crystal system = cubic
ΔH_f (0 K) = -660 meV per atom


# 14
Compound: Pm2ScSi2
Source: Alexandria via LeMat-Bulk
Functional: PBE-GGA
Structure: relaxed

The structure in POSCAR format:
```
Pm2ScSi2
1.0
0.030 3.589 2.260
-1.041 -1.097 5.736
4.554 0.075 3.800
Pm Si Sc
2 2 1
Cartesian
3.005 0.889 4.518
0.539 1.678 7.277
1.126 -0.203 2.298
2.418 2.771 9.498
-0.505 1.246 3.998
```

Summary:
crystal system = orthorhombic
formation energy without anion corrections = -0.69 eV per atom


# 15
Compound: NiAuC
Source: Alexandria via LeMat-Bulk
Functional: PBE-GGA
Structure: relaxed

The structure in POSCAR format:
```
NiAuC
1.0
2.939 0.000 0.000
-1.470 2.545 0.000
0.000 0.000 5.148
C Ni Au
1 1 1
Cartesian
1.470 0.848 1.322
0.000 1.697 0.562
1.470 0.848 3.448
```

Summary:
crystal system = trigonal
ΔE to the lowest computed polymorph = 0.022 eV per atom
ΔH_f (0 K) = 713 meV per atom


# 16
Compound: ErTlPb6
Source: Alexandria via LeMat-Bulk
Functional: PBE-GGA
Structure: relaxed

The structure in POSCAR format:
```
ErTlPb6
1.0
4.885 0.000 0.000
0.000 4.885 0.000
0.000 0.000 10.137
Pb Er Tl
6 1 1
Cartesian
0.000 2.442 7.665
2.442 0.000 2.472
2.442 2.442 0.000
2.442 2.442 5.069
2.442 0.000 7.665
0.000 2.442 2.472
0.000 0.000 0.000
0.000 0.000 5.069
```

Summary:
crystal system = tetragonal
ΔH_f (0 K) = -95 meV per atom


# 17
Compound: Na2PrGe3Au12
Source: Alexandria via LeMat-Bulk
Functional: PBE-GGA
Structure: relaxed

The structure in POSCAR format:
```
Na2PrGe3Au12
1.0
-2.905 2.472 6.704
1.666 -5.490 5.156
6.011 2.667 4.031
Ge Na Au Pr
3 2 12 1
Cartesian
-1.453 1.236 3.352
0.833 -2.745 2.578
3.006 1.334 2.015
2.795 -0.205 9.308
1.977 -0.145 6.582
-0.468 1.035 5.693
5.241 -1.385 10.197
4.695 1.316 7.094
2.398 2.691 8.195
-0.068 1.212 8.523
1.292 -1.471 11.381
2.374 -3.042 7.695
4.840 -1.562 7.368
1.556 -2.491 5.007
3.480 1.121 4.509
0.077 -1.666 8.796
3.216 2.141 10.883
0.000 0.000 0.000
```

Summary:
crystal system = trigonal
ΔH_f (0 K) = -39 meV per atom


# 18
Compound: MgAl2Te
Source: Alexandria via LeMat-Bulk
Functional: PBE-GGA
Structure: relaxed

The structure in POSCAR format:
```
MgAl2Te
1.0
4.377 -0.442 0.868
2.341 3.725 0.868
2.830 1.383 6.748
Mg Te Al
1 1 2
Cartesian
4.955 2.421 4.532
2.772 1.355 2.532
6.906 3.375 6.918
2.519 1.231 5.493
```

Summary:
crystal system = monoclinic
ΔE to the lowest computed polymorph = 0.000 eV per atom
formation energy without anion corrections = -0.10 eV per atom


# 19
Compound: Pr5Hg2Te
Source: Alexandria via LeMat-Bulk
Functional: PBE-GGA
Structure: relaxed

The structure in POSCAR format:
```
Pr5Hg2Te
1.0
7.930 0.000 -3.743
-1.767 7.731 -3.743
-0.636 -0.798 8.924
Pr Hg Te
10 4 2
Cartesian
4.731 0.960 2.940
4.427 7.438 -4.083
3.183 2.108 -0.340
1.100 -0.504 5.521
0.797 5.973 -1.502
0.000 0.000 0.000
2.345 4.826 1.777
3.082 3.865 -3.743
-1.286 3.361 4.358
6.813 3.572 -2.921
1.338 6.652 -4.570
0.470 2.787 -1.872
4.825 1.079 -2.917
5.693 4.944 -5.615
1.223 1.534 2.590
4.304 5.399 -1.153
```

Summary:
crystal system = tetragonal
formation energy without anion corrections = -0.56 eV per atom


# 20
Compound: PaCo4Si2
Source: Alexandria via LeMat-Bulk
Functional: PBE-GGA
Structure: relaxed

The structure in POSCAR format:
```
PaCo4Si2
1.0
-0.995 -1.352 -3.182
3.439 -0.043 -1.057
-0.455 -6.427 4.906
Co Si Pa
4 2 1
Cartesian
1.772 -5.808 -0.121
2.103 -3.584 0.864
0.217 -2.013 0.787
-0.114 -4.238 -0.198
0.535 -4.966 1.942
1.454 -2.856 -1.276
0.000 0.000 0.000
```

Summary:
crystal system = tetragonal
ΔE to the lowest computed polymorph = 0.139 eV per atom
formation energy without anion corrections = -0.31 eV per atom


# 21
Compound: Na2InHg
Source: Alexandria via LeMat-Bulk
Functional: PBE-GGA
Structure: relaxed

The structure in POSCAR format:
```
Na2InHg
1.0
-3.602 -2.073 -2.540
-1.111 -2.593 3.690
-2.922 3.308 1.445
Na In Hg
2 1 1
Cartesian
-1.461 1.654 0.722
-0.555 -1.296 1.845
-1.801 -1.036 -1.270
-3.818 -0.678 1.297
```

Summary:
crystal system = tetragonal
ΔH_f (0 K) = -147 meV per atom


| no. | DOS(E_F) (states/eV/atom) | mass density (kg/m3) |
| --- | --- | --- |
| 1 | 0.278 | 7161 |
| 2 | 0.209 | 5607 |
| 3 | 0.420 | 6680 |
| 4 | 1.136 | 8790 |
| 5 | 0.757 | 8326 |
| 6 | 0.778 | 3685 |
| 7 | 1.265 | 7585 |
| 8 | 0.884 | 5175 |
| 9 | 0.570 | 15131 |
| 10 | 0.759 | 6734 |
| 11 | 0.784 | 4720 |
| 12 | 1.265 | 4640 |
| 13 | 0.430 | 11974 |
| 14 | 0.978 | 5462 |
| 15 | 0.576 | 11539 |
| 16 | 0.756 | 11085 |
| 17 | 0.313 | 11070 |
| 18 | 0.233 | 3277 |
| 19 | 0.899 | 8196 |
| 20 | 0.729 | 8725 |
| 21 | 0.364 | 5711 |